## CuSI2N (SCAN)

Data for a PBEsol-optimized structure of CuSI2N.

Results
E_form (uncorrected)	1.0685	eV per atom
density	5.5	Mg/m³
space group	P4/mmm, No. 123
VASP energy	-20.452	eV per atom

a = 3.332 Å, b = 5.731 Å, c = 5.731 Å
α = 90.00°, β = 90.00°, γ = 90.00°
Positions (direct):
1 I 0.000 0.000 0.500
2 I 0.000 0.500 0.000
3 S 0.000 0.000 0.000
4 Cu 0.500 0.500 0.500
5 N 0.500 0.000 0.000


## KCd2Se (SCAN)

Data for a PBEsol-optimized structure of KCd2Se.

Results
E_form (uncorrected)	-0.3547	eV per atom
density	5.0	Mg/m³
space group	Imm2, No. 44
VASP energy	-22.664	eV per atom

a = 4.325 Å, b = 5.707 Å, c = 5.707 Å
α = 65.74°, β = 67.73°, γ = 67.73°
Positions (direct):
1 Cd 0.984 0.016 0.016
2 Cd 0.705 0.795 0.795
3 K 0.513 0.487 0.487
4 Se 0.298 0.202 0.202


## TaTe2IBr (SCAN)

Data for a PBEsol-optimized structure of TaTe2IBr.

Results
E_form (uncorrected)	1.6068	eV per atom
density	6.7	Mg/m³
space group	P4/mmm, No. 123
VASP energy	-37.850	eV per atom

a = 5.518 Å, b = 5.385 Å, c = 5.385 Å
α = 90.00°, β = 90.00°, γ = 90.00°
Positions (direct):
1 I 0.500 0.000 0.000
2 Te 0.000 0.000 0.500
3 Te 0.000 0.500 0.000
4 Br 0.000 0.000 0.000
5 Ta 0.500 0.500 0.500


## Li4Mg3 (SCAN)

Data for a PBEsol-optimized structure of Li4Mg3.

Results
density	1.2	Mg/m³
DFT formation energy	-0.035	eV per atom
space group	I4/mmm, No. 139
VASP energy	-3.533	eV per atom

a = 3.336 Å, b = 3.336 Å, c = 12.699 Å
α = 97.55°, β = 97.55°, γ = 90.00°
Positions (direct):
1 Mg 0.000 0.000 0.000
2 Mg 0.291 0.291 0.583
3 Mg 0.709 0.709 0.417
4 Li 0.137 0.137 0.274
5 Li 0.427 0.427 0.855
6 Li 0.573 0.573 0.145
7 Li 0.863 0.863 0.726


## BeAlAs (SCAN)

Data for a PBEsol-optimized structure of BeAlAs.

Results
density	3.8	Mg/m³
DFT formation energy	0.230	eV per atom
space group	F-43m, No. 216
VASP energy	-10.536	eV per atom

a = 4.085 Å, b = 4.085 Å, c = 4.085 Å
α = 60.00°, β = 60.00°, γ = 60.00°
Positions (direct):
1 Be 0.250 0.250 0.250
2 As 0.500 0.500 0.500
3 Al 0.000 0.000 0.000


## NiPbAu2 (SCAN)

Data for a PBEsol-optimized structure of NiPbAu2.

Results
density	15.7	Mg/m³
DFT formation energy	0.233	eV per atom
space group	Imm2, No. 44
VASP energy	-57.334	eV per atom

a = 4.152 Å, b = 4.118 Å, c = 5.021 Å
α = 114.21°, β = 114.43°, γ = 90.00°
Positions (direct):
1 Au 0.000 0.000 0.000
2 Au 0.749 0.249 0.498
3 Ni 0.500 0.500 0.000
4 Pb 0.251 0.751 0.502


no.,total moment (μB per cell)
1,0.00
2,0.00
3,2.60
4,0.00
5,0.00
6,0.49